# AlH2F4 | the Alexandria database | PBE | optimized geometry
# Density of states at the Fermi level   1.871 states/eV per cell
# E   -28.7 eV/f.u.
data_AlH2F4
_chemical_formula_sum 'Al2 H4 F8'
_space_group_name_H-M_alt 'I 4/m'
_space_group_IT_number 87
_space_group_name_Hall '-I 4'
_cell_length_a 5.946
_cell_length_b 5.946
_cell_length_c 3.746
_cell_angle_alpha 90.00
_cell_angle_beta 90.00
_cell_angle_gamma 90.00
loop_
_atom_site_label
_atom_site_fract_x
_atom_site_fract_y
_atom_site_fract_z
Al1 0.000 0.000 0.000
H1 0.000 0.500 0.250
F1 0.038 0.692 0.000